No. 1
Density functional theory data (PBE-GGA) for a relaxed structure of Ti2TlIr.

For the offset from the most stable computed form, the calculation gives 0.000 eV per atom. The formation energy comes out at -122 meV/atom.

The space group is Fm-3m (No. 225) and the conventional cell measures 6.529, 6.529 and 6.529 Å, with angles of 90.00, 90.00 and 90.00 degrees. Symmetry generates all atoms from Ti at (0.250, 0.250, 0.250), Tl at (0.000, 0.000, 0.000) and Ir at (0.000, 0.000, 0.500).



No. 2
Density functional theory data (PBE-GGA) for a relaxed structure of Ti2TlIr.

For the offset from the most stable computed form, the calculation gives 0.186 eV per atom. The formation energy comes out at 64 meV/atom.

The space group is I-42d (No. 122) and the conventional cell measures 7.319, 7.319 and 5.880 Å, with angles of 90.00, 90.00 and 90.00 degrees. Symmetry generates all atoms from Ti at (0.199, 0.250, 0.125), Tl at (0.000, 0.000, 0.500) and Ir at (0.000, 0.000, 0.000).



No. 3
Density functional theory data (PBE-GGA) for a relaxed structure of TiTl2Ir.

For the offset from the most stable computed form, the calculation gives 0.000 eV per atom. The formation energy comes out at 337 meV/atom.

The space group is Fm-3m (No. 225) and the conventional cell measures 6.734, 6.734 and 6.734 Å, with angles of 90.00, 90.00 and 90.00 degrees. Symmetry generates all atoms from Ti at (0.000, 0.000, 0.000), Tl at (0.250, 0.250, 0.250) and Ir at (0.000, 0.000, 0.500).



No. 4
Density functional theory data (PBE-GGA) for a relaxed structure of Ti2TlVIr.

The formation energy comes out at 949 meV/atom.

The space group is P4/mmm (No. 123) and the conventional cell measures 4.731, 4.731 and 5.110 Å, with angles of 90.00, 90.00 and 90.00 degrees. Symmetry generates all atoms from Ti at (0.000, 0.500, 0.000), Tl at (0.000, 0.000, 0.500), V at (0.500, 0.500, 0.500) and Ir at (0.000, 0.000, 0.000).



No. 5
Density functional theory data (PBE-GGA) for a relaxed structure of TmTiIr.

For the offset from the most stable computed form, the calculation gives 0.000 eV per atom. The formation energy comes out at -723 meV/atom.

The space group is P4/nmm (No. 129, origin choice 2) and the conventional cell measures 4.331, 4.331 and 6.585 Å, with angles of 90.00, 90.00 and 90.00 degrees. Symmetry generates all atoms from Tm at (0.250, 0.250, 0.143), Ti at (0.250, 0.750, 0.500) and Ir at (0.250, 0.250, 0.708).



No. 6
Density functional theory data (PBE-GGA) for a relaxed structure of TmTi2Ir2.

The formation energy comes out at -814 meV/atom.

The space group is I4/mmm (No. 139) and the conventional cell measures 4.221, 4.221 and 10.765 Å, with angles of 90.00, 90.00 and 90.00 degrees. Symmetry generates all atoms from Tm at (0.000, 0.000, 0.000), Ti at (0.000, 0.500, 0.250) and Ir at (0.000, 0.000, 0.381).



No. 7
Density functional theory data (PBE-GGA) for a relaxed structure of TmTiIr4.

The formation energy comes out at -584 meV/atom.

The space group is F-43m (No. 216) and the conventional cell measures 7.411, 7.411 and 7.411 Å, with angles of 90.00, 90.00 and 90.00 degrees. Symmetry generates all atoms from Tm at (0.000, 0.000, 0.000), Ti at (0.250, 0.250, 0.750) and Ir at (0.125, 0.125, 0.375).



No. 8
Density functional theory data (PBE-GGA) for a relaxed structure of TmTiIr.

For the offset from the most stable computed form, the calculation gives 0.850 eV per atom. The formation energy comes out at 127 meV/atom.

The space group is I4mm (No. 107) and the conventional cell measures 3.079, 3.079 and 14.507 Å, with angles of 90.00, 90.00 and 90.00 degrees. Symmetry generates all atoms from Tm at (0.000, 0.000, 0.000), Ti at (0.000, 0.000, 0.222) and Ir at (0.000, 0.000, 0.812).



Q: What is the formation energy in the fifth record?
A: -723 meV/atom



Q: Look up the formation energy of the fifth one.
A: -723 meV/atom